1.
This record from the Alexandria database describes SbPtCl after structural relaxation. The functional is PBE-GGA.

Results
- Crystal system: trigonal
- Total moment: 0.00 μB per formula unit
- Formation energy (no corrections): -417 meV per atom
- Polymorph energy (0 for the lowest one): 27 meV/atom

```
SbPtCl
1.0
3.7591 0.0000 0.0000
-1.8795 3.2554 0.0000
0.0000 0.0000 6.5054
Sb Pt Cl
1 1 1
Direct
0.0000 0.0000 0.0000
0.3333 0.6667 0.7718
0.6667 0.3333 0.5373
```



2.
This record from the Alexandria database describes SbPtCl2 after structural relaxation. The functional is PBE-GGA.

Results
- Crystal system: orthorhombic
- Total moment: 0.00 μB per formula unit
- Formation energy (no corrections): -354 meV per atom
- Polymorph energy (0 for the lowest one): 163 meV/atom

```
SbPtCl2
1.0
-1.9207 2.3102 7.9295
1.9207 -2.3102 7.9295
1.9207 2.3102 -7.9295
Sb Pt Cl
1 1 2
Direct
0.0000 0.0000 0.0000
0.8985 0.3985 0.5000
0.5786 0.0786 0.5000
0.7984 0.7984 0.0000
```



3.
This record from the Alexandria database describes SbPtCl after structural relaxation. The functional is PBE-GGA.

Results
- Crystal system: tetragonal
- Total moment: 0.00 μB per formula unit
- Formation energy (no corrections): -156 meV per atom
- Polymorph energy (0 for the lowest one): 288 meV/atom

```
SbPtCl
1.0
-1.6701 1.6701 5.9434
1.6701 -1.6701 5.9434
1.6701 1.6701 -5.9434
Sb Pt Cl
1 1 1
Direct
0.0000 0.0000 0.0000
0.3789 0.3789 0.0000
0.7291 0.7291 0.0000
```



4.
This record from the Alexandria database describes SbPtCl after structural relaxation. The functional is PBE-GGA.

Results
- Crystal system: orthorhombic
- Total moment: 0.00 μB per formula unit
- Formation energy (no corrections): -153 meV per atom
- Polymorph energy (0 for the lowest one): 291 meV/atom

```
SbPtCl
1.0
0.0000 2.6859 6.1577
2.0698 0.0000 6.1577
2.0698 2.6859 0.0000
Sb Pt Cl
1 1 1
Direct
0.0000 0.0000 0.0000
0.6282 0.6282 0.3718
0.2674 0.2674 0.7326
```



5.
This record from the Alexandria database describes SbPtCl2 after structural relaxation. The functional is PBE-GGA.

Results
- Crystal system: orthorhombic
- Total moment: 0.00 μB per formula unit
- Formation energy (no corrections): 423 meV per atom
- Polymorph energy (0 for the lowest one): 940 meV/atom

```
SbPtCl2
1.0
3.0810 0.0000 0.0000
0.0000 4.3478 0.0000
0.0000 0.0000 6.1139
Sb Pt Cl
1 1 2
Direct
0.0000 0.0000 0.0000
0.0000 0.0000 0.5000
0.5000 0.5000 0.2565
0.5000 0.5000 0.7435
```



6.
This record from the Alexandria database describes SbPtCl2 after structural relaxation. The functional is PBE-GGA.

Results
- Crystal system: trigonal
- Total moment: 0.00 μB per formula unit
- Formation energy (no corrections): -452 meV per atom
- Polymorph energy (0 for the lowest one): 65 meV/atom

```
SbPtCl2
1.0
1.9199 1.1085 8.1177
-1.9199 1.1085 8.1177
0.0000 -2.2169 8.1177
Sb Pt Cl
1 1 2
Direct
0.0000 0.0000 0.0000
0.7238 0.7238 0.7238
0.2545 0.2545 0.2545
0.4496 0.4496 0.4496
```



7.
This record from the Alexandria database describes SbPtCl2 after structural relaxation. The functional is PBE-GGA.

Results
- Crystal system: tetragonal
- Total moment: 0.00 μB per formula unit
- Formation energy (no corrections): 371 meV per atom
- Polymorph energy (0 for the lowest one): 888 meV/atom

```
SbPtCl2
1.0
-2.1763 2.1763 4.3342
2.1763 -2.1763 4.3342
2.1763 2.1763 -4.3342
Sb Pt Cl
1 1 2
Direct
0.0000 0.0000 0.0000
0.5000 0.5000 0.0000
0.2500 0.7500 0.5000
0.7500 0.2500 0.5000
```



8.
This record from the Alexandria database describes SbPtCl2 after structural relaxation. The functional is PBE-GGA.

Results
- Crystal system: orthorhombic
- Total moment: 0.00 μB per formula unit
- Formation energy (no corrections): 423 meV per atom
- Polymorph energy (0 for the lowest one): 940 meV/atom

```
SbPtCl2
1.0
3.0353 -4.3758 0.0000
3.0353 4.3758 0.0000
0.0000 0.0000 3.0832
Sb Pt Cl
1 1 2
Direct
0.0000 0.0000 0.0000
0.5000 0.5000 0.0000
0.0000 0.5000 0.5000
0.5000 0.0000 0.5000
```



9.
This record from the Alexandria database describes SbPtCl2 after structural relaxation. The functional is PBE-GGA.

Results
- Crystal system: cubic
- Total moment: 0.00 μB per formula unit
- Formation energy (no corrections): 99 meV per atom
- Polymorph energy (0 for the lowest one): 616 meV/atom

```
SbPtCl2
1.0
0.0000 3.4029 3.4029
3.4029 0.0000 3.4029
3.4029 3.4029 0.0000
Sb Pt Cl
1 1 2
Direct
0.0000 0.0000 0.0000
0.2500 0.2500 0.2500
0.5000 0.5000 0.5000
0.7500 0.7500 0.7500
```



10.
This record from the Alexandria database describes Sb2Pt2Cl after structural relaxation. The functional is PBE-GGA.

Results
- Crystal system: tetragonal
- Total moment: 0.00 μB per formula unit
- Formation energy (no corrections): -133 meV per atom

```
Sb2Pt2Cl
1.0
-2.4154 2.4154 5.0582
2.4154 -2.4154 5.0582
2.4154 2.4154 -5.0582
Sb Pt Cl
2 2 1
Direct
0.2500 0.7500 0.5000
0.7500 0.2500 0.5000
0.1321 0.1321 0.0000
0.8679 0.8679 0.0000
0.5000 0.5000 0.0000
```



11.
This record from the Alexandria database describes SbPtCl2 after structural relaxation. The functional is PBE-GGA.

Results
- Crystal system: orthorhombic
- Total moment: 0.00 μB per formula unit
- Formation energy (no corrections): 103 meV per atom
- Polymorph energy (0 for the lowest one): 619 meV/atom

```
SbPtCl2
1.0
-1.6394 2.7273 4.8088
1.6394 -2.7273 4.8088
1.6394 2.7273 -4.8088
Sb Pt Cl
1 1 2
Direct
0.0000 0.0000 0.0000
0.5000 0.5000 0.0000
0.3051 0.8051 0.5000
0.6949 0.1949 0.5000
```



12.
This record from the Alexandria database describes SbPt3Cl after structural relaxation. The functional is PBE-GGA.

Results
- Crystal system: cubic
- Total moment: 0.00 μB per formula unit
- Formation energy (no corrections): 936 meV per atom
- Polymorph energy (0 for the lowest one): 77 meV/atom

```
SbPt3Cl
1.0
5.0074 0.0000 0.0000
0.0000 5.0074 0.0000
0.0000 0.0000 5.0074
Sb Pt Cl
1 3 1
Direct
0.0000 0.0000 0.0000
0.0000 0.0000 0.5000
0.0000 0.5000 0.0000
0.5000 0.0000 0.0000
0.5000 0.5000 0.5000
```



13.
This record from the Alexandria database describes SbPtCl2 after structural relaxation. The functional is PBE-GGA.

Results
- Crystal system: trigonal
- Total moment: 0.00 μB per formula unit
- Formation energy (no corrections): 30 meV per atom
- Polymorph energy (0 for the lowest one): 547 meV/atom

```
SbPtCl2
1.0
1.6529 0.9543 9.1561
-1.6529 0.9543 9.1561
0.0000 -1.9086 9.1561
Sb Pt Cl
1 1 2
Direct
0.0000 0.0000 0.0000
0.5000 0.5000 0.5000
0.4169 0.4169 0.4169
0.5831 0.5831 0.5831
```



14.
This record from the Alexandria database describes SbPtCl after structural relaxation. The functional is PBE-GGA.

Results
- Crystal system: triclinic
- Total moment: 0.00 μB per formula unit
- Formation energy (no corrections): -308 meV per atom
- Polymorph energy (0 for the lowest one): 136 meV/atom

```
SbPtCl
1.0
3.9918 0.0000 0.0000
-0.0965 6.3233 0.0000
-1.2215 -1.3707 6.0823
Sb Pt Cl
2 2 2
Direct
0.1826 0.0518 0.2667
0.8174 0.9482 0.7333
0.3680 0.7900 0.9219
0.6320 0.2100 0.0781
0.2404 0.4213 0.7503
0.7596 0.5787 0.2497
```



15.
This record from the Alexandria database describes SbPtCl2 after structural relaxation. The functional is PBE-GGA.

Results
- Crystal system: orthorhombic
- Total moment: 0.00 μB per formula unit
- Formation energy (no corrections): 33 meV per atom
- Polymorph energy (0 for the lowest one): 549 meV/atom

```
SbPtCl2
1.0
2.9547 -3.3629 0.0000
2.9547 3.3629 0.0000
0.0000 0.0000 4.2647
Sb Pt Cl
1 1 2
Direct
0.0000 0.0000 0.0000
0.5000 0.5000 0.0000
0.2720 0.7280 0.5000
0.7280 0.2720 0.5000
```